! EuTm2Cd, relaxed, DFT PBE-GGA; values from VASP
&SYSTEM
  ibrav = 0, nat = 12, ntyp = 3
/
ATOMIC_SPECIES
Eu 151.96 Eu.upf
Tm 168.93 Tm.upf
Cd 112.41 Cd.upf
CELL_PARAMETERS angstrom
3.501 0.000 0.000
-1.751 3.032 0.000
0.000 0.000 35.413
ATOMIC_POSITIONS angstrom
Eu 0.000 0.000 0.000
Eu 0.000 2.021 23.608
Eu 1.751 1.011 11.804
Tm 0.000 0.000 3.433
Tm 0.000 0.000 31.980
Tm 0.000 2.021 20.176
Tm 0.000 2.021 27.041
Tm 1.751 1.011 8.372
Tm 1.751 1.011 15.237
Cd 0.000 0.000 17.706
Cd 0.000 2.021 5.902
Cd 1.751 1.011 29.511
! Total magnetic moment (μB/f.u.): 8.06
! Formation enthalpy at 0 K (eV per atom): 0.13
! Offset from the most stable computed form (eV per atom): 0.197
! E_tot (eV/atom): -4.91

! EuTm2Cd, relaxed, DFT PBE-GGA; values from VASP
&SYSTEM
  ibrav = 0, nat = 4, ntyp = 3
/
ATOMIC_SPECIES
Eu 151.96 Eu.upf
Tm 168.93 Tm.upf
Cd 112.41 Cd.upf
CELL_PARAMETERS angstrom
4.897 0.000 0.000
0.000 4.897 0.000
0.000 0.000 4.853
ATOMIC_POSITIONS angstrom
Eu 0.000 0.000 0.000
Tm 0.000 2.448 2.426
Tm 2.448 0.000 2.426
Cd 2.448 2.448 0.000
! Total magnetic moment (μB/f.u.): 7.25
! Formation enthalpy at 0 K (eV per atom): -0.03
! Offset from the most stable computed form (eV per atom): 0.044
! E_tot (eV/atom): -5.06

! Eu2TmCd, relaxed, DFT PBE-GGA; values from VASP
&SYSTEM
  ibrav = 0, nat = 16, ntyp = 3
/
ATOMIC_SPECIES
Eu 151.96 Eu.upf
Tm 168.93 Tm.upf
Cd 112.41 Cd.upf
CELL_PARAMETERS angstrom
8.006 0.000 0.000
0.000 8.006 0.000
0.000 0.000 8.006
ATOMIC_POSITIONS angstrom
Eu 2.001 2.001 2.001
Eu 2.001 2.001 6.004
Eu 2.001 6.004 2.001
Eu 2.001 6.004 6.004
Eu 6.004 2.001 2.001
Eu 6.004 2.001 6.004
Eu 6.004 6.004 2.001
Eu 6.004 6.004 6.004
Tm 0.000 0.000 0.000
Tm 0.000 4.003 4.003
Tm 4.003 0.000 4.003
Tm 4.003 4.003 0.000
Cd 0.000 0.000 4.003
Cd 0.000 4.003 0.000
Cd 4.003 0.000 0.000
Cd 4.003 4.003 4.003
! Total magnetic moment (μB/f.u.): 14.47
! Formation enthalpy at 0 K (eV per atom): 0.01
! Offset from the most stable computed form (eV per atom): 0.088
! E_tot (eV/atom): -6.47

! Eu2TmCd, relaxed, DFT PBE-GGA; values from VASP
&SYSTEM
  ibrav = 0, nat = 12, ntyp = 3
/
ATOMIC_SPECIES
Eu 151.96 Eu.upf
Tm 168.93 Tm.upf
Cd 112.41 Cd.upf
CELL_PARAMETERS angstrom
3.608 0.000 0.000
-1.804 3.124 0.000
0.000 0.000 37.896
ATOMIC_POSITIONS angstrom
Eu 0.000 0.000 3.325
Eu 0.000 0.000 34.571
Eu 0.000 2.083 21.939
Eu 0.000 2.083 28.589
Eu 1.804 1.041 9.307
Eu 1.804 1.041 15.957
Tm 0.000 0.000 18.948
Tm 0.000 2.083 6.316
Tm 1.804 1.041 31.580
Cd 0.000 0.000 0.000
Cd 0.000 2.083 25.264
Cd 1.804 1.041 12.632
! Total magnetic moment (μB/f.u.): 15.72
! Formation enthalpy at 0 K (eV per atom): 0.18
! Offset from the most stable computed form (eV per atom): 0.259
! E_tot (eV/atom): -6.30

! EuTm2Cd, relaxed, DFT PBE-GGA; values from VASP
&SYSTEM
  ibrav = 0, nat = 4, ntyp = 3
/
ATOMIC_SPECIES
Eu 151.96 Eu.upf
Tm 168.93 Tm.upf
Cd 112.41 Cd.upf
CELL_PARAMETERS angstrom
3.592 0.000 0.000
0.000 3.592 0.000
0.000 0.000 9.347
ATOMIC_POSITIONS angstrom
Eu 0.000 0.000 0.000
Tm 1.796 1.796 2.707
Tm 1.796 1.796 6.640
Cd 0.000 0.000 4.673
! Total magnetic moment (μB/f.u.): 7.88
! Formation enthalpy at 0 K (eV per atom): -0.07
! Offset from the most stable computed form (eV per atom): 0.000
! E_tot (eV/atom): -5.10

! EuTmZnCd, relaxed, DFT PBE-GGA; values from VASP
&SYSTEM
  ibrav = 0, nat = 16, ntyp = 4
/
ATOMIC_SPECIES
Eu 151.96 Eu.upf
Tm 168.93 Tm.upf
Zn 65.41 Zn.upf
Cd 112.41 Cd.upf
CELL_PARAMETERS angstrom
7.440 0.000 0.000
0.000 7.440 0.000
0.000 0.000 7.440
ATOMIC_POSITIONS angstrom
Eu 0.000 0.000 0.000
Eu 0.000 3.720 3.720
Eu 3.720 0.000 3.720
Eu 3.720 3.720 0.000
Tm 0.000 0.000 3.720
Tm 0.000 3.720 0.000
Tm 3.720 0.000 0.000
Tm 3.720 3.720 3.720
Zn 1.860 1.860 1.860
Zn 1.860 5.580 5.580
Zn 5.580 1.860 5.580
Zn 5.580 5.580 1.860
Cd 1.860 1.860 5.580
Cd 1.860 5.580 1.860
Cd 5.580 1.860 1.860
Cd 5.580 5.580 5.580
! Total magnetic moment (μB/f.u.): 7.03
! Formation enthalpy at 0 K (eV per atom): -0.26
! E_tot (eV/atom): -4.50

! EuY2Cd, relaxed, DFT PBE-GGA; values from VASP
&SYSTEM
  ibrav = 0, nat = 4, ntyp = 3
/
ATOMIC_SPECIES
Eu 151.96 Eu.upf
Y 88.91 Y.upf
Cd 112.41 Cd.upf
CELL_PARAMETERS angstrom
3.716 0.000 0.000
0.000 3.716 0.000
0.000 0.000 9.163
ATOMIC_POSITIONS angstrom
Eu 0.000 0.000 0.000
Y 1.858 1.858 2.697
Y 1.858 1.858 6.467
Cd 0.000 0.000 4.582
! Total magnetic moment (μB/f.u.): 8.19
! Formation enthalpy at 0 K (eV per atom): -0.10
! Offset from the most stable computed form (eV per atom): 0.000
! E_tot (eV/atom): -6.13

! Eu2YCd, relaxed, DFT PBE-GGA; values from VASP
&SYSTEM
  ibrav = 0, nat = 12, ntyp = 3
/
ATOMIC_SPECIES
Eu 151.96 Eu.upf
Y 88.91 Y.upf
Cd 112.41 Cd.upf
CELL_PARAMETERS angstrom
3.589 0.000 0.000
-1.795 3.108 0.000
0.000 0.000 36.850
ATOMIC_POSITIONS angstrom
Eu 0.000 0.000 3.441
Eu 0.000 0.000 33.410
Eu 0.000 2.072 21.126
Eu 0.000 2.072 28.008
Eu 1.795 1.036 8.843
Eu 1.795 1.036 15.724
Y 0.000 0.000 0.000
Y 0.000 2.072 24.567
Y 1.795 1.036 12.283
Cd 0.000 0.000 18.425
Cd 0.000 2.072 6.142
Cd 1.795 1.036 30.709
! Total magnetic moment (μB/f.u.): 15.34
! Formation enthalpy at 0 K (eV per atom): 0.14
! Offset from the most stable computed form (eV per atom): 0.233
! E_tot (eV/atom): -6.84

! Eu2YCd, relaxed, DFT PBE-GGA; values from VASP
&SYSTEM
  ibrav = 0, nat = 16, ntyp = 3
/
ATOMIC_SPECIES
Eu 151.96 Eu.upf
Y 88.91 Y.upf
Cd 112.41 Cd.upf
CELL_PARAMETERS angstrom
8.056 0.000 0.000
0.000 8.056 0.000
0.000 0.000 8.056
ATOMIC_POSITIONS angstrom
Eu 2.014 2.014 2.014
Eu 2.014 2.014 6.042
Eu 2.014 6.042 2.014
Eu 2.014 6.042 6.042
Eu 6.042 2.014 2.014
Eu 6.042 2.014 6.042
Eu 6.042 6.042 2.014
Eu 6.042 6.042 6.042
Y 0.000 0.000 0.000
Y 0.000 4.028 4.028
Y 4.028 0.000 4.028
Y 4.028 4.028 0.000
Cd 0.000 0.000 4.028
Cd 0.000 4.028 0.000
Cd 4.028 0.000 0.000
Cd 4.028 4.028 4.028
! Total magnetic moment (μB/f.u.): 14.63
! Formation enthalpy at 0 K (eV per atom): 0.02
! Offset from the most stable computed form (eV per atom): 0.118
! E_tot (eV/atom): -6.96

! EuY2Cd, relaxed, DFT PBE-GGA; values from VASP
&SYSTEM
  ibrav = 0, nat = 12, ntyp = 3
/
ATOMIC_SPECIES
Eu 151.96 Eu.upf
Y 88.91 Y.upf
Cd 112.41 Cd.upf
CELL_PARAMETERS angstrom
3.572 0.000 0.000
-1.786 3.093 0.000
0.000 0.000 35.663
ATOMIC_POSITIONS angstrom
Eu 0.000 0.000 0.000
Eu 0.000 2.062 23.775
Eu 1.786 1.031 11.888
Y 0.000 0.000 3.469
Y 0.000 0.000 32.194
Y 0.000 2.062 20.306
Y 0.000 2.062 27.244
Y 1.786 1.031 8.418
Y 1.786 1.031 15.357
Cd 0.000 0.000 17.831
Cd 0.000 2.062 5.944
Cd 1.786 1.031 29.719
! Total magnetic moment (μB/f.u.): 8.13
! Formation enthalpy at 0 K (eV per atom): 0.10
! Offset from the most stable computed form (eV per atom): 0.201
! E_tot (eV/atom): -5.93

! EuYCd4, relaxed, DFT PBE-GGA; values from VASP
&SYSTEM
  ibrav = 0, nat = 6, ntyp = 3
/
ATOMIC_SPECIES
Eu 151.96 Eu.upf
Y 88.91 Y.upf
Cd 112.41 Cd.upf
CELL_PARAMETERS angstrom
0.000 4.241 4.241
4.241 0.000 4.241
4.241 4.241 0.000
ATOMIC_POSITIONS angstrom
Eu 0.000 0.000 0.000
Y 6.361 6.361 6.361
Cd 3.184 3.184 3.184
Cd 5.298 5.298 3.184
Cd 5.298 3.184 5.298
Cd 3.184 5.298 5.298
! Total magnetic moment (μB/f.u.): 7.09
! Formation enthalpy at 0 K (eV per atom): -0.28
! E_tot (eV/atom): -3.68

! EuY2Cd, relaxed, DFT PBE-GGA; values from VASP
&SYSTEM
  ibrav = 0, nat = 4, ntyp = 3
/
ATOMIC_SPECIES
Eu 151.96 Eu.upf
Y 88.91 Y.upf
Cd 112.41 Cd.upf
CELL_PARAMETERS angstrom
4.984 0.000 0.000
0.000 4.984 0.000
0.000 0.000 4.862
ATOMIC_POSITIONS angstrom
Eu 0.000 0.000 0.000
Y 0.000 2.492 2.431
Y 2.492 0.000 2.431
Cd 2.492 2.492 0.000
! Total magnetic moment (μB/f.u.): 7.25
! Formation enthalpy at 0 K (eV per atom): -0.05
! Offset from the most stable computed form (eV per atom): 0.051
! E_tot (eV/atom): -6.08